1.
This record from the Alexandria database describes a relaxed DyErMgPd crystal. The functional is GGA-PBE.

Calculated values
The formation energy from the elements is -0.489 eV per atom. The offset from the most stable computed form comes out at 0.000 eV/f.u.

CIF file:
```
data_DyErMgPd
_chemical_formula_sum 'Dy1 Er1 Mg1 Pd1'
_symmetry_space_group_name_H-M 'P 1'
_symmetry_Int_Tables_number 1
_cell_length_a 3.612
_cell_length_b 3.612
_cell_length_c 7.344
_cell_angle_alpha 90.00
_cell_angle_beta 90.00
_cell_angle_gamma 90.00
loop_
_symmetry_equiv_pos_as_xyz
'x,y,z'
loop_
_atom_site_label
_atom_site_type_symbol
_atom_site_fract_x
_atom_site_fract_y
_atom_site_fract_z
Dy1 Dy 0.000 0.000 0.000
Er1 Er 0.000 0.000 0.554
Mg1 Mg 0.500 0.500 0.279
Pd1 Pd 0.500 0.500 0.771
```

2.
This record from the Alexandria database describes a relaxed BaTiBr2 crystal. The functional is GGA-PBE.

Calculated values
The uncorrected formation energy comes out at -265 kJ/mol of formula units. The offset from the most stable computed form comes out at 0.000 eV/f.u.

CIF file:
```
data_BaTiBr2
_chemical_formula_sum 'Ba1 Ti1 Br2'
_symmetry_space_group_name_H-M 'P 1'
_symmetry_Int_Tables_number 1
_cell_length_a 9.621
_cell_length_b 9.621
_cell_length_c 9.621
_cell_angle_alpha 25.32
_cell_angle_beta 25.32
_cell_angle_gamma 25.32
loop_
_symmetry_equiv_pos_as_xyz
'x,y,z'
loop_
_atom_site_label
_atom_site_type_symbol
_atom_site_fract_x
_atom_site_fract_y
_atom_site_fract_z
Ba1 Ba 0.000 0.000 0.000
Ti1 Ti 0.500 0.500 0.500
Br1 Br 0.118 0.118 0.118
Br2 Br 0.882 0.882 0.882
```

3.
This record from the Alexandria database describes a relaxed K2CuP2 crystal. The functional is GGA-PBE.

Calculated values
The formation energy from the elements is -0.132 eV per atom.

CIF file:
```
data_K2CuP2
_chemical_formula_sum 'K2 Cu1 P2'
_symmetry_space_group_name_H-M 'P 1'
_symmetry_Int_Tables_number 1
_cell_length_a 5.053
_cell_length_b 6.081
_cell_length_c 6.081
_cell_angle_alpha 38.75
_cell_angle_beta 90.00
_cell_angle_gamma 90.00
loop_
_symmetry_equiv_pos_as_xyz
'x,y,z'
loop_
_atom_site_label
_atom_site_type_symbol
_atom_site_fract_x
_atom_site_fract_y
_atom_site_fract_z
K1 K 0.000 0.000 0.000
K2 K 0.000 0.250 0.250
Cu1 Cu 0.500 0.426 0.426
P1 P 0.500 0.630 0.630
P2 P 0.500 0.823 0.823
```

4.
This record from the Alexandria database describes a relaxed Er4AsPS2 crystal. The functional is GGA-PBE.

Calculated values
The uncorrected formation energy comes out at -1393 kJ/mol of formula units.

CIF file:
```
data_Er4AsPS2
_chemical_formula_sum 'Er4 As1 P1 S2'
_symmetry_space_group_name_H-M 'P 1'
_symmetry_Int_Tables_number 1
_cell_length_a 6.822
_cell_length_b 3.957
_cell_length_c 6.865
_cell_angle_alpha 90.00
_cell_angle_beta 109.64
_cell_angle_gamma 90.00
loop_
_symmetry_equiv_pos_as_xyz
'x,y,z'
loop_
_atom_site_label
_atom_site_type_symbol
_atom_site_fract_x
_atom_site_fract_y
_atom_site_fract_z
Er1 Er 0.244 0.000 0.242
Er2 Er 0.249 0.500 0.756
Er3 Er 0.751 0.500 0.244
Er4 Er 0.756 0.000 0.758
As1 As 0.000 0.000 0.500
P1 P 0.000 0.500 0.000
S1 S 0.500 0.000 0.000
S2 S 0.500 0.500 0.500
```

5.
This record from the Alexandria database describes a relaxed TlZn2Au2 crystal. The functional is GGA-PBE.

Calculated values
The formation energy from the elements is -0.109 eV per atom. The offset from the most stable computed form comes out at 0.000 eV/f.u.

CIF file:
```
data_TlZn2Au2
_chemical_formula_sum 'Tl1 Zn2 Au2'
_symmetry_space_group_name_H-M 'P 1'
_symmetry_Int_Tables_number 1
_cell_length_a 6.962
_cell_length_b 6.962
_cell_length_c 6.962
_cell_angle_alpha 146.48
_cell_angle_beta 146.48
_cell_angle_gamma 48.14
loop_
_symmetry_equiv_pos_as_xyz
'x,y,z'
loop_
_atom_site_label
_atom_site_type_symbol
_atom_site_fract_x
_atom_site_fract_y
_atom_site_fract_z
Tl1 Tl 0.000 0.000 0.000
Zn1 Zn 0.250 0.750 0.500
Zn2 Zn 0.750 0.250 0.500
Au1 Au 0.387 0.387 0.000
Au2 Au 0.613 0.613 0.000
```

6.
This record from the Alexandria database describes a relaxed Rb4Ho3TiTe8 crystal. The functional is GGA-PBE.

Calculated values
The uncorrected formation energy comes out at -1871 kJ/mol of formula units.

CIF file:
```
data_Rb4Ho3TiTe8
_chemical_formula_sum 'Rb4 Ho3 Ti1 Te8'
_symmetry_space_group_name_H-M 'P 1'
_symmetry_Int_Tables_number 1
_cell_length_a 9.952
_cell_length_b 9.952
_cell_length_c 9.952
_cell_angle_alpha 52.97
_cell_angle_beta 52.97
_cell_angle_gamma 52.97
loop_
_symmetry_equiv_pos_as_xyz
'x,y,z'
loop_
_atom_site_label
_atom_site_type_symbol
_atom_site_fract_x
_atom_site_fract_y
_atom_site_fract_z
Rb1 Rb 0.000 0.000 0.000
Rb2 Rb 0.000 0.500 0.500
Rb3 Rb 0.500 0.000 0.500
Rb4 Rb 0.500 0.500 0.000
Ho1 Ho 0.000 0.000 0.500
Ho2 Ho 0.000 0.500 0.000
Ho3 Ho 0.500 0.000 0.000
Ti1 Ti 0.500 0.500 0.500
Te1 Te 0.234 0.234 0.234
Te2 Te 0.247 0.723 0.723
Te3 Te 0.277 0.277 0.753
Te4 Te 0.277 0.753 0.277
Te5 Te 0.723 0.247 0.723
Te6 Te 0.723 0.723 0.247
Te7 Te 0.753 0.277 0.277
Te8 Te 0.766 0.766 0.766
```

7.
This record from the Alexandria database describes a relaxed SiPSe2 crystal. The functional is GGA-PBE.

Calculated values
The uncorrected formation energy comes out at 112 kJ/mol of formula units. The offset from the most stable computed form comes out at 1.506 eV/f.u.

CIF file:
```
data_SiPSe2
_chemical_formula_sum 'Si1 P1 Se2'
_symmetry_space_group_name_H-M 'P 1'
_symmetry_Int_Tables_number 1
_cell_length_a 7.074
_cell_length_b 7.074
_cell_length_c 7.074
_cell_angle_alpha 149.34
_cell_angle_beta 149.32
_cell_angle_gamma 43.92
loop_
_symmetry_equiv_pos_as_xyz
'x,y,z'
loop_
_atom_site_label
_atom_site_type_symbol
_atom_site_fract_x
_atom_site_fract_y
_atom_site_fract_z
Si1 Si 0.000 0.000 0.000
P1 P 0.500 0.500 0.000
Se1 Se 0.141 0.641 0.500
Se2 Se 0.859 0.359 0.500
```